1.
A relaxed PmNd5Mg4 crystal. Source: the Alexandria database, functional GGA-PBE.

Geometry as CIF:
```
data_PmNd5Mg4
_cell_length_a 3.8342
_cell_length_b 3.8342
_cell_length_c 20.8076
_cell_angle_alpha 90.00
_cell_angle_beta 90.00
_cell_angle_gamma 90.00
_space_group_name_H-M_alt 'P 4/m m m'
_space_group_IT_number 123
_space_group_name_Hall '-P 4 2'
loop_
_atom_site_label
_atom_site_fract_x
_atom_site_fract_y
_atom_site_fract_z
Pm1 0.0000 0.0000 0.0000
Nd1 0.5000 0.5000 0.1197
Nd2 0.5000 0.5000 0.3108
Nd3 0.5000 0.5000 0.5000
Mg1 0.0000 0.0000 0.2153
Mg2 0.0000 0.0000 0.4051
```

## Properties
Calculated volume in Å³/f.u.: 306
E in eV for the cell shown: -35.762
Theoretical density in kg/m3: 5230


2.
A relaxed Pm3Nd3Mg2 crystal. Source: the Alexandria database, functional GGA-PBE.

Geometry as CIF:
```
data_Pm3Nd3Mg2
_cell_length_a 5.4408
_cell_length_b 11.9302
_cell_length_c 16.0275
_cell_angle_alpha 90.00
_cell_angle_beta 90.00
_cell_angle_gamma 90.00
_space_group_name_H-M_alt 'C m c m'
_space_group_IT_number 63
_space_group_name_Hall '-C 2c 2'
loop_
_atom_site_label
_atom_site_fract_x
_atom_site_fract_y
_atom_site_fract_z
Pm1 0.0000 0.0277 0.2500
Pm2 0.0000 0.1456 0.5297
Nd1 0.0000 0.2456 0.7500
Nd2 0.0000 0.4608 0.6043
Mg1 0.0000 0.2741 0.1479
```

## Properties
Calculated volume in Å³/f.u.: 260
E in eV for the cell shown: -125.160
Theoretical density in kg/m3: 5850


3.
A relaxed Pm2NdMg4 crystal. Source: the Alexandria database, functional GGA-PBE.

Geometry as CIF:
```
data_Pm2NdMg4
_cell_length_a 6.0841
_cell_length_b 13.1016
_cell_length_c 5.5868
_cell_angle_alpha 90.00
_cell_angle_beta 90.00
_cell_angle_gamma 90.00
_space_group_name_H-M_alt 'C m m m'
_space_group_IT_number 65
_space_group_name_Hall '-C 2 2'
loop_
_atom_site_label
_atom_site_fract_x
_atom_site_fract_y
_atom_site_fract_z
Pm1 0.0000 0.1355 0.0000
Nd1 0.0000 0.5000 0.5000
Mg1 0.0000 0.2551 0.5000
Mg2 0.0000 0.3832 0.0000
```

## Properties
Calculated volume in Å³/f.u.: 223
Excess energy over the best structure of this formula in the dataset in eV/atom: 0.215
Theoretical density in kg/m3: 3963


4.
A relaxed Pm8Nd4Mg crystal. Source: the Alexandria database, functional GGA-PBE.

Geometry as CIF:
```
data_Pm8Nd4Mg
_cell_length_a 7.3482
_cell_length_b 7.3482
_cell_length_c 29.2072
_cell_angle_alpha 90.00
_cell_angle_beta 90.00
_cell_angle_gamma 120.00
_space_group_name_H-M_alt 'R -3 m'
_space_group_IT_number 166
_space_group_name_Hall '-R 3 2"'
loop_
_atom_site_label
_atom_site_fract_x
_atom_site_fract_y
_atom_site_fract_z
Pm1 0.0000 0.0000 0.2140
Pm2 0.0219 0.5110 0.7645
Nd1 0.0000 0.0000 0.0000
Nd2 0.0000 0.5000 0.0000
Mg1 0.0000 0.0000 0.5000
```

## Properties
Calculated volume in Å³/f.u.: 455
E in eV for the cell shown: -169.595
Theoretical density in kg/m3: 6424


5.
A relaxed Pm8Nd5Mg crystal. Source: the Alexandria database, functional GGA-PBE.

Geometry as CIF:
```
data_Pm8Nd5Mg
_cell_length_a 9.8569
_cell_length_b 9.8569
_cell_length_c 10.1026
_cell_angle_alpha 90.00
_cell_angle_beta 90.00
_cell_angle_gamma 90.00
_space_group_name_H-M_alt 'I -4'
_space_group_IT_number 82
loop_
_space_group_symop_operation_xyz
'x,y,z'
'y,-x,-z'
'-x,-y,z'
'-y,x,-z'
'x+1/2,y+1/2,z+1/2'
'y+1/2,-x+1/2,-z+1/2'
'-x+1/2,-y+1/2,z+1/2'
'-y+1/2,x+1/2,-z+1/2'
loop_
_atom_site_label
_atom_site_fract_x
_atom_site_fract_y
_atom_site_fract_z
Pm1 0.0675 0.3306 0.4122
Pm2 0.0858 0.1875 0.7467
Nd1 0.0000 0.0000 0.5000
Nd2 0.1018 0.2092 0.0804
Mg1 0.0000 0.5000 0.7500
```

## Properties
Calculated volume in Å³/f.u.: 491
E in eV for the cell shown: -120.783
Theoretical density in kg/m3: 6447


6.
A relaxed Pm12NdMg3 crystal. Source: the Alexandria database, functional GGA-PBE.

Geometry as CIF:
```
data_Pm12NdMg3
_cell_length_a 5.0437
_cell_length_b 5.0437
_cell_length_c 20.2978
_cell_angle_alpha 90.00
_cell_angle_beta 90.00
_cell_angle_gamma 90.00
_space_group_name_H-M_alt 'P 4/m m m'
_space_group_IT_number 123
_space_group_name_Hall '-P 4 2'
loop_
_atom_site_label
_atom_site_fract_x
_atom_site_fract_y
_atom_site_fract_z
Pm1 0.0000 0.0000 0.0000
Pm2 0.0000 0.0000 0.2453
Pm3 0.0000 0.0000 0.5000
Pm4 0.0000 0.5000 0.1229
Pm5 0.0000 0.5000 0.3705
Nd1 0.5000 0.5000 0.5000
Mg1 0.5000 0.5000 0.0000
Mg2 0.5000 0.5000 0.2449
```

## Properties
Calculated volume in Å³/f.u.: 516
E in eV for the cell shown: -66.416
Theoretical density in kg/m3: 6294


7.
A relaxed PmNd2Mg8 crystal. Source: the Alexandria database, functional GGA-PBE.

Geometry as CIF:
```
data_PmNd2Mg8
_cell_length_a 16.3812
_cell_length_b 5.1204
_cell_length_c 7.2329
_cell_angle_alpha 90.00
_cell_angle_beta 106.49
_cell_angle_gamma 90.00
_space_group_name_H-M_alt 'C 1 2/m 1'
_space_group_IT_number 12
loop_
_space_group_symop_operation_xyz
'x,y,z'
'-x,-y,-z'
'-x,y,-z'
'x,-y,z'
'x+1/2,y+1/2,z'
'-x+1/2,-y+1/2,-z'
'-x+1/2,y+1/2,-z'
'x+1/2,-y+1/2,z'
loop_
_atom_site_label
_atom_site_fract_x
_atom_site_fract_y
_atom_site_fract_z
Pm1 0.0000 0.0000 0.0000
Nd1 0.2176 0.5000 0.6433
Mg1 0.0212 0.5000 0.7174
Mg2 0.0877 0.0000 0.4671
Mg3 0.1426 0.5000 0.1413
Mg4 0.1768 0.0000 0.8949
```

## Properties
Calculated volume in Å³/f.u.: 291
E in eV for the cell shown: -55.489
Theoretical density in kg/m3: 3585


8.
A relaxed Pm4NdMg5 crystal. Source: the Alexandria database, functional GGA-PBE.

Geometry as CIF:
```
data_Pm4NdMg5
_cell_length_a 3.8644
_cell_length_b 3.8644
_cell_length_c 19.4086
_cell_angle_alpha 90.00
_cell_angle_beta 90.00
_cell_angle_gamma 90.00
_space_group_name_H-M_alt 'P 4/m m m'
_space_group_IT_number 123
_space_group_name_Hall '-P 4 2'
loop_
_atom_site_label
_atom_site_fract_x
_atom_site_fract_y
_atom_site_fract_z
Pm1 0.0000 0.0000 0.0994
Pm2 0.0000 0.0000 0.2984
Nd1 0.0000 0.0000 0.5000
Mg1 0.5000 0.5000 0.0000
Mg2 0.5000 0.5000 0.1987
Mg3 0.5000 0.5000 0.3981
```

## Properties
Calculated volume in Å³/f.u.: 290
E in eV for the cell shown: -32.820
Theoretical density in kg/m3: 4845


Please write out number 8 again, unchanged.
A relaxed Pm4NdMg5 crystal. Source: the Alexandria database, functional GGA-PBE.

Geometry as CIF:
```
data_Pm4NdMg5
_cell_length_a 3.8644
_cell_length_b 3.8644
_cell_length_c 19.4086
_cell_angle_alpha 90.00
_cell_angle_beta 90.00
_cell_angle_gamma 90.00
_space_group_name_H-M_alt 'P 4/m m m'
_space_group_IT_number 123
_space_group_name_Hall '-P 4 2'
loop_
_atom_site_label
_atom_site_fract_x
_atom_site_fract_y
_atom_site_fract_z
Pm1 0.0000 0.0000 0.0994
Pm2 0.0000 0.0000 0.2984
Nd1 0.0000 0.0000 0.5000
Mg1 0.5000 0.5000 0.0000
Mg2 0.5000 0.5000 0.1987
Mg3 0.5000 0.5000 0.3981
```

## Properties
Calculated volume in Å³/f.u.: 290
E in eV for the cell shown: -32.820
Theoretical density in kg/m3: 4845


Which of these has the lowest calculated volume? Pm2NdMg4


theoretical density of number 2 (Pm3Nd3Mg2)? 5850 kg/m3